Record 1
Compound: Re3TcH
Source: Alexandria
Functional: PBE
Structure: optimized geometry

DFT total energy: -50.33 eV per formula unit
V: 12.336 A^3/atom

Cell and atoms, written as extended XYZ:
```
5
Lattice="-2.6100 0.7024 -2.8819 2.0396 -2.3622 -2.4230 -2.1537 -3.0883 1.1978" Properties=species:S:1:pos:R:3 pbc="T T T"
Re 1.0198 -1.1811 -1.2115
Re -1.0768 -1.5441 0.5989
Re -1.3050 0.3512 -1.4409
Tc -1.3621 -2.3740 -2.0535
H 0.0000 0.0000 0.0000
```

***

Record 2
Compound: Cd2W2S
Source: Alexandria
Functional: PBE
Structure: optimized geometry

formation energy (no corrections): 373 meV per atom
energy above the lowest structure with this stoichiometry: 0 meV per atom
DFT total energy: -30.00 eV per formula unit
V: 18.506 A^3/atom

Cell and atoms, written as extended XYZ:
```
10
Lattice="6.1235 0.0000 0.0000 0.0000 6.1235 0.0000 0.0000 0.0000 4.9354" Properties=species:S:1:pos:R:3 pbc="T T T"
S 0.0000 0.0000 0.0000
S 3.0617 3.0617 0.0000
W 2.1454 5.2071 0.0000
W 5.2071 3.9781 0.0000
W 3.9781 0.9163 0.0000
W 0.9163 2.1454 0.0000
Cd 1.0056 4.0673 2.4677
Cd 4.0673 5.1179 2.4677
Cd 5.1179 2.0561 2.4677
Cd 2.0561 1.0056 2.4677
```

***

Record 3
Compound: Tb3Pr4HoS8
Source: Alexandria
Functional: PBE
Structure: optimized geometry

formation energy (no corrections): -2014 meV per atom
DFT total energy: -102.83 eV per formula unit
V: 22.855 A^3/atom

Cell and atoms, written as extended XYZ:
```
16
Lattice="-4.7332 -6.2344 -1.3870 6.0175 -5.0265 2.0585 -2.2710 5.6573 5.1021" Properties=species:S:1:pos:R:3 pbc="T T T"
Tb 0.6421 -5.6305 0.3357
Tb -0.4933 -2.8018 2.8868
Tb 1.8733 0.3154 3.5803
Pr -2.3666 -3.1172 -0.6935
Pr -3.5021 -0.2885 1.8575
Pr 0.0000 0.0000 0.0000
Pr -1.1355 2.8286 2.5511
Ho 3.0088 -2.5133 1.0292
S 1.0052 0.4057 6.2100
S 2.1480 -2.4412 3.6428
S -0.7622 -0.0460 2.8080
S -1.3766 -2.7316 5.5120
S 0.3899 -2.8720 0.2616
S -0.2245 -5.5576 2.9655
S -3.1347 -3.1624 2.1308
S -1.9919 -6.0093 -0.4364
```

***

Record 4
Compound: KLaCo2
Source: Alexandria
Functional: PBE
Structure: optimized geometry

energy above the lowest structure with this stoichiometry: 184 meV per atom
DFT total energy: -18.62 eV per formula unit
V: 30.604 A^3/atom
calculated formation energy: 0.40 eV per atom

Cell and atoms, written as extended XYZ:
```
4
Lattice="7.8738 0.1389 -0.0382 5.6528 5.4829 0.0382 -6.6773 -3.0177 2.8851" Properties=species:S:1:pos:R:3 pbc="T T T"
Co 12.0048 4.9893 0.0000
Co 4.9779 0.3808 1.4235
K 6.9917 2.9058 0.0000
La 3.1648 2.7608 1.4617
```

***

Record 5
Compound: Pm5Tl8Zn
Source: Alexandria
Functional: PBE
Structure: optimized geometry

DFT total energy: -46.80 eV per formula unit
V: 29.173 A^3/atom
calculated formation energy: -0.20 eV per atom

Cell and atoms, written as extended XYZ:
```
14
Lattice="8.0956 0.0806 -0.1386 -2.6634 7.6454 0.1386 -2.7689 -3.8259 6.5773" Properties=species:S:1:pos:R:3 pbc="T T T"
Pm 6.5749 2.4238 0.6264
Pm 4.2309 5.6781 1.6586
Pm 2.6659 2.6244 3.9771
Pm 2.6634 -1.8726 3.2193
Pm 2.7195 0.9805 0.1765
Tl -0.9682 5.5685 0.1732
Tl 5.6910 -1.8129 4.6161
Tl 4.8229 0.4952 2.6253
Tl 1.3171 -0.0618 5.5712
Tl 1.4975 3.8557 1.1887
Tl 0.1353 3.4890 5.7844
Tl 0.4685 0.5556 2.5807
Tl -2.3107 3.5112 3.7693
Zn -1.3845 0.9734 4.9676
```

***

Record 6
Compound: Mg2ZnIn
Source: Alexandria
Functional: PBE
Structure: optimized geometry

DFT total energy: -7.24 eV per formula unit
V: 21.377 A^3/atom
calculated formation energy: -0.01 eV per atom

Cell and atoms, written as extended XYZ:
```
4
Lattice="3.1628 0.0228 0.0000 -0.0253 3.1628 0.0000 0.0000 0.0000 8.5476" Properties=species:S:1:pos:R:3 pbc="T T T"
In 1.5687 1.5928 6.2677
Mg 0.0000 0.0000 0.0395
Mg 1.5687 1.5928 2.3308
Zn 0.0000 0.0000 4.1835
```

***

Record 7
Compound: K2Ta2B
Source: Alexandria
Functional: PBE
Structure: optimized geometry

energy above the lowest structure with this stoichiometry: 0 meV per atom
DFT total energy: -24.77 eV per formula unit
V: 30.135 A^3/atom
calculated formation energy: 1.56 eV per atom

Cell and atoms, written as extended XYZ:
```
5
Lattice="-1.5832 3.0500 1.3250 -2.2861 -2.0640 2.0195 5.3485 0.6309 10.0578" Properties=species:S:1:pos:R:3 pbc="T T T"
K -0.6263 0.5178 3.1786
K 2.1055 1.0991 10.2237
B 0.0000 0.0000 0.0000
Ta 0.9153 2.0870 6.5275
Ta 0.5639 -0.4700 6.8748
```

***

Record 8
Compound: ZnPBr2
Source: Alexandria
Functional: PBE
Structure: optimized geometry

formation energy (no corrections): 405 meV per atom
energy above the lowest structure with this stoichiometry: 672 meV per atom
DFT total energy: -8.41 eV per formula unit
V: 23.259 A^3/atom

Cell and atoms, written as extended XYZ:
```
8
Lattice="7.4418 0.0000 0.0000 0.0000 7.4418 0.0000 3.7209 3.7209 3.3598" Properties=species:S:1:pos:R:3 pbc="T T T"
P 3.7209 3.7209 0.0000
P 3.7209 7.4418 1.6799
Zn 0.0000 0.0000 0.0000
Zn 7.4418 3.7209 1.6799
Br 5.7496 1.8605 0.8399
Br 1.6922 5.5814 0.8399
Br 5.5814 5.4131 2.5198
Br 9.3023 9.4706 2.5198
```

***

Record 9
Compound: Mg2ZrAl
Source: Alexandria
Functional: PBE
Structure: optimized geometry

DFT total energy: -15.74 eV per formula unit
V: 20.771 A^3/atom
calculated formation energy: -0.07 eV per atom

Cell and atoms, written as extended XYZ:
```
4
Lattice="3.0794 0.0000 0.0000 0.0000 4.2839 0.0000 0.0000 0.0000 6.2981" Properties=species:S:1:pos:R:3 pbc="T T T"
Al 1.5397 2.1420 4.6370
Mg 0.0000 0.0000 0.0002
Mg 1.5397 2.1420 1.5624
Zr 0.0000 0.0000 3.2476
```

***

Record 10
Compound: Ta2Ni5Pt12
Source: Alexandria
Functional: PBE
Structure: optimized geometry

DFT total energy: -127.54 eV per formula unit
V: 15.787 A^3/atom
calculated formation energy: -0.13 eV per atom

Cell and atoms, written as extended XYZ:
```
19
Lattice="4.0204 -0.2458 -0.6407 -0.0633 7.9098 -3.4308 -0.9523 -0.4516 9.8102" Properties=species:S:1:pos:R:3 pbc="T T T"
Ta -0.0485 6.0634 -2.6299
Ta 3.0533 1.1490 8.3685
Ni 2.4463 1.2986 2.9488
Ni -0.4646 2.4877 5.7439
Ni 2.0102 -0.1229 -0.3204
Ni 3.4694 4.7247 -0.0053
Ni 0.5585 5.9138 2.7898
Pt 0.2913 0.6958 1.5988
Pt 2.4560 6.7282 1.2958
Pt 2.4755 4.2920 2.3524
Pt 0.7132 0.5016 7.1038
Pt 0.6784 4.8534 5.2163
Pt 1.8676 2.9641 6.7992
Pt 1.1372 4.2483 -1.0606
Pt 2.2916 6.7108 -1.3652
Pt 2.3264 2.3590 0.5224
Pt 0.5488 0.4842 4.4428
Pt 0.5293 2.9204 3.3862
Pt 2.7135 6.5166 4.1399
```

***

Record 11
Compound: Ti2CuSi
Source: Alexandria
Functional: PBE
Structure: optimized geometry

formation energy (no corrections): -4 meV per atom
DFT total energy: -25.33 eV per formula unit
V: 15.490 A^3/atom

Cell and atoms, written as extended XYZ:
```
8
Lattice="6.9646 0.0000 0.0000 0.0000 6.9646 0.0000 3.4823 3.4823 2.5547" Properties=species:S:1:pos:R:3 pbc="T T T"
Si 3.4823 3.4823 0.0000
Si 3.4823 6.9646 1.2774
Cu 0.0000 0.0000 0.0000
Cu 6.9646 3.4823 1.2774
Ti 5.2466 1.7411 0.6387
Ti 1.7180 5.2234 0.6387
Ti 5.2234 5.2003 1.9160
Ti 8.7057 8.7289 1.9160
```

***

Record 12
Compound: Bi2TeSe2
Source: Alexandria
Functional: PBE
Structure: optimized geometry

formation energy (no corrections): -136 meV per atom
DFT total energy: -18.55 eV per formula unit
V: 31.057 A^3/atom

Cell and atoms, written as extended XYZ:
```
10
Lattice="8.8770 0.0000 0.0000 0.0000 8.8770 0.0000 0.0000 0.0000 3.9411" Properties=species:S:1:pos:R:3 pbc="T T T"
Te 0.0000 0.0000 0.0000
Te 4.4385 4.4385 0.0000
Bi 2.5619 7.0005 0.0000
Bi 7.0005 6.3151 0.0000
Bi 6.3151 1.8766 0.0000
Bi 1.8766 2.5619 0.0000
Se 1.1857 5.6242 1.9706
Se 5.6242 7.6913 1.9706
Se 7.6913 3.2528 1.9706
Se 3.2528 1.1857 1.9706
```